Record 1
Density functional theory data (PBE) for a relaxed structure of Th2CrWN6.

Computed properties:
The value obtained for the calculated volume is 12.1 A^3/atom. As for the spin magnetization: 0.000 μB per cell. The formation energy from raw total energies comes out at -0.962 eV per atom. As for the space-group type: No. 99. The value obtained for the density of states at the Fermi level is 0.345 states/eV per atom.

a b c (Å): 3.978 5.507 5.507
angles (deg): 90.00 90.00 90.00
Fractional coordinates of all 10 atoms:
Th: 0.101 0.500 0.000
Th: 0.101 0.000 0.500
Cr: 0.687 0.500 0.500
W: 0.623 0.000 0.000
N: 0.661 0.255 0.255
N: 0.661 0.255 0.745
N: 0.150 0.500 0.500
N: 0.139 0.000 0.000
N: 0.661 0.745 0.745
N: 0.661 0.745 0.255



Record 2
Density functional theory data (PBE) for a relaxed structure of NaLiBr2.

Computed properties:
The value obtained for the calculated volume is 23.9 A^3/atom. As for the energy above the lowest structure with this stoichiometry: 0.205 eV per atom. As for the spin magnetization: 0.000 μB per cell. The formation energy from raw total energies comes out at -1.320 eV per atom. As for the space-group type: No. 225. The value obtained for the density of states at the Fermi level is 0.000 states/eV per atom.

a b c (Å): 5.134 5.134 5.134
angles (deg): 60.00 60.00 60.00
Fractional coordinates of all 4 atoms:
Na: 0.500 0.500 0.500
Br: 0.250 0.250 0.250
Br: 0.750 0.750 0.750
Li: 0.000 0.000 0.000



- The lowest formation energy from raw total energies belongs to which entry?
  NaLiBr2